This record from the Alexandria database describes a geometry-optimized Mg3Ga3RuRh2 structure. The functional is PBE.

Structure (POSCAR):
```
Mg3Ga3RuRh2
1.0
7.293 0.000 0.000
-3.646 6.316 0.000
0.000 0.000 3.110
Mg Ga Ru Rh
3 3 1 2
Direct
0.000 0.385 0.000
0.385 0.000 0.000
0.615 0.615 0.000
0.000 0.717 0.500
0.283 0.283 0.500
0.717 0.000 0.500
0.000 0.000 0.000
0.333 0.667 0.500
0.667 0.333 0.500
```

density of states at the Fermi level: 0.48 states/eV per atom
crystal system: hexagonal
ΔH_f (0 K): -442 meV/atom



This record from the Alexandria database describes a geometry-optimized MgGa4Ru2Rh structure. The functional is PBE.

Structure (POSCAR):
```
MgGa4Ru2Rh
1.0
2.174 1.255 7.128
-2.174 1.255 7.128
0.000 -2.510 7.128
Mg Ga Ru Rh
1 4 2 1
Direct
0.000 0.000 0.000
0.129 0.129 0.129
0.380 0.380 0.380
0.620 0.620 0.620
0.871 0.871 0.871
0.252 0.252 0.252
0.748 0.748 0.748
0.500 0.500 0.500
```

density of states at the Fermi level: 0.53 states/eV per atom
crystal system: trigonal
ΔH_f (0 K): -339 meV/atom